Entry 1:
This record from the Alexandria database describes an optimized crystal structure of B3C2. The functional is PBE.

Total magnetic moment   0.0 μB per formula unit
Distance to the lowest polymorph of the same formula   0.228 eV/atom
Crystal system   monoclinic

abc: 7.5685 7.5685 3.8793
angles: 67.48 67.48 20.10
With the nearest neighbours (Å) after each atom.
Sites, in units of the cell vectors:
B (0.5706, 0.5706, 0.3929)  2 C 1.56, 1 B 1.72
B (0.0247, 0.0247, 0.0039)  1 C 1.57, 3 B 1.74-1.75
B (0.4783, 0.4783, 0.8317)  4 B 1.72-1.77
B (0.7256, 0.7256, 0.5904)  3 C 1.56
B (0.4008, 0.4008, 0.5840)  1 C 1.65, 1 B 1.77
B (0.8976, 0.8976, 0.2368)  1 C 1.63, 1 B 1.75
C (0.2044, 0.2044, 0.8248)  2 C 1.55-1.61, 2 B 1.56
C (0.2957, 0.2957, 0.9473)  3 C 1.58-1.61, 1 B 1.65
C (0.7962, 0.7962, 0.1709)  2 B 1.56-1.63, 2 C 1.58
C (0.1061, 0.1061, 0.1672)  1 C 1.55, 3 B 1.56-1.57

---

Entry 2:
This record from the Alexandria database describes an optimized crystal structure of BC. The functional is PBE.

Total magnetic moment   0.0 μB per formula unit
Distance to the lowest polymorph of the same formula   0.215 eV/atom
Crystal system   orthorhombic

abc: 2.5414 2.4075 13.0396
angles: 90.00 90.00 90.00
With the nearest neighbours (Å) after each atom.
Sites, in units of the cell vectors:
B (0.5000, 0.5000, 0.4771)  4 C 1.62-1.66
B (0.5000, 0.5000, 0.8429)  4 B 1.81
B (0.5000, 0.5000, 0.1739)  4 C 1.65-1.67
B (0.0000, 0.0000, 0.6385)  2 C 1.59
B (0.0000, 0.5000, 0.7440)  4 B 1.81-1.83
B (0.5000, 0.0000, 0.9469)  2 C 1.65, 2 B 1.81
C (0.0000, 0.5000, 0.0930)  2 C 1.47
C (0.5000, 0.0000, 0.5653)  4 B 1.59-1.66
C (0.5000, 0.0000, 0.2622)  2 C 1.54, 2 B 1.67
C (0.0000, 0.0000, 0.0281)  2 C 1.47
C (0.0000, 0.5000, 0.3995)  2 C 1.52, 2 B 1.62
C (0.0000, 0.0000, 0.3288)  4 C 1.52-1.54

---

Entry 3:
This record from the Alexandria database describes an optimized crystal structure of BC. The functional is PBE.

Total magnetic moment   0.0 μB per formula unit
Distance to the lowest polymorph of the same formula   0.185 eV/atom
Crystal system   monoclinic

abc: 4.4464 4.4464 8.7076
angles: 121.01 121.01 32.33
With the nearest neighbours (Å) after each atom.
Sites, in units of the cell vectors:
B (0.3707, 0.3707, 0.1730)  4 B 1.66-1.84
B (0.5217, 0.5217, 0.8652)  4 C 1.63-1.68
B (0.6345, 0.6345, 0.3401)  1 C 1.66, 2 B 1.84
B (0.1780, 0.1780, 0.2107)  1 C 1.61
B (0.4503, 0.4503, 0.3938)  2 C 1.61, 1 B 1.66
B (0.8595, 0.8595, 0.0178)  2 C 1.62, 2 B 1.80
C (0.0347, 0.0347, 0.9931)  4 B 1.61-1.63
C (0.1661, 0.1661, 0.7056)  4 C 1.51-1.57
C (0.9727, 0.9727, 0.5221)  2 C 1.55-1.57, 2 B 1.61
C (0.6783, 0.6783, 0.8117)  2 C 1.51, 2 B 1.62-1.64
C (0.3213, 0.3213, 0.6615)  3 C 1.52-1.57, 1 B 1.68
C (0.8120, 0.8120, 0.5553)  3 C 1.52-1.55, 1 B 1.66

---

What is the formula in the second record? BC

---

Please write out number 1 again, unchanged.
This record from the Alexandria database describes an optimized crystal structure of B3C2. The functional is PBE.

Total magnetic moment   0.0 μB per formula unit
Distance to the lowest polymorph of the same formula   0.228 eV/atom
Crystal system   monoclinic

abc: 7.5685 7.5685 3.8793
angles: 67.48 67.48 20.10
With the nearest neighbours (Å) after each atom.
Sites, in units of the cell vectors:
B (0.5706, 0.5706, 0.3929)  2 C 1.56, 1 B 1.72
B (0.0247, 0.0247, 0.0039)  1 C 1.57, 3 B 1.74-1.75
B (0.4783, 0.4783, 0.8317)  4 B 1.72-1.77
B (0.7256, 0.7256, 0.5904)  3 C 1.56
B (0.4008, 0.4008, 0.5840)  1 C 1.65, 1 B 1.77
B (0.8976, 0.8976, 0.2368)  1 C 1.63, 1 B 1.75
C (0.2044, 0.2044, 0.8248)  2 C 1.55-1.61, 2 B 1.56
C (0.2957, 0.2957, 0.9473)  3 C 1.58-1.61, 1 B 1.65
C (0.7962, 0.7962, 0.1709)  2 B 1.56-1.63, 2 C 1.58
C (0.1061, 0.1061, 0.1672)  1 C 1.55, 3 B 1.56-1.57